VASP calculation (PBE with a Hubbard U) on a relaxed structure of Al2NiO4.

abc: 5.696 5.739 33.150
angles: 85.20 85.41 60.34
Each line ends with the local moment (μB).
Sites, in units of the cell vectors:
O 0.455 0.484 0.109  0.04
O 0.253 0.245 0.751  0.00
O 0.963 0.475 0.609  0.07
O 0.523 0.556 0.396  0.07
O 0.936 0.997 0.111  0.07
O 0.493 0.948 0.607  0.04
O 0.929 0.485 0.109  0.04
O 0.192 0.157 0.462  0.07
O 0.669 0.670 0.464  0.04
O 0.199 0.169 0.960  0.02
O 0.062 0.010 0.890  0.03
O 0.102 0.599 0.679  0.04
O 0.199 0.670 0.464  0.04
O 0.114 0.112 0.681  0.07
O 0.459 0.956 0.105  0.06
O 0.809 0.320 0.537  0.04
O 0.669 0.198 0.467  0.07
O 0.340 0.793 0.534  0.07
O 0.817 0.834 0.539  0.07
O 0.082 0.113 0.179  0.04
O 0.634 0.071 0.678  0.07
O 0.060 0.537 0.890  0.03
O 0.529 0.540 0.892  0.00
O 0.376 0.392 0.322  0.04
O 0.229 0.277 0.254  0.07
O 0.645 0.180 0.963  0.08
O 0.516 0.042 0.394  0.04
O 0.322 0.834 0.034  0.04
O 0.927 0.372 0.818  0.04
O 0.047 0.042 0.394  0.04
O 0.963 0.949 0.607  0.04
O 0.505 0.050 0.897  0.07
O 0.378 0.878 0.819  0.08
O 0.798 0.828 0.034  0.04
O 0.795 0.711 0.749  0.03
O 0.791 0.233 0.749  0.03
O 0.780 0.363 0.043  0.11
O 0.340 0.320 0.537  0.04
O 0.942 0.866 0.816  0.02
O 0.250 0.744 0.751  0.04
O 0.905 0.391 0.322  0.04
O 0.222 0.763 0.252  0.04
O 0.194 0.674 0.959  0.04
O 0.753 0.763 0.252  0.04
O 0.376 0.919 0.324  0.07
O 0.752 0.236 0.249  0.07
O 0.898 0.878 0.320  0.07
O 0.604 0.600 0.177  0.07
O 0.611 0.112 0.179  0.04
O 0.486 0.436 0.605  0.07
O 0.081 0.641 0.182  0.07
O 0.376 0.419 0.820  0.08
O 0.635 0.600 0.680  0.03
O 0.046 0.515 0.391  0.07
O 0.639 0.721 0.963  0.09
O 0.312 0.316 0.031  0.07
Al 0.623 0.659 0.072  0.00
Al 0.090 0.055 0.786  0.00
Al 0.984 0.485 0.555  0.00
Al 0.357 0.858 0.429  0.00
Al 0.091 0.559 0.786  0.00
Al 0.156 0.665 0.016  0.00
Al 0.616 0.066 0.732  0.00
Al 0.944 0.414 0.714  0.00
Al 0.063 0.579 0.286  0.00
Al 0.651 0.136 0.571  0.00
Al 0.319 0.784 0.588  0.00
Al 0.228 0.706 0.855  0.00
Al 0.504 0.496 0.500  0.00
Al 0.211 0.218 0.357  0.00
Al 0.769 0.300 0.143  0.00
Al 0.397 0.928 0.269  0.00
Al 0.916 0.939 0.215  0.00
Al 0.357 0.353 0.929  0.00
Al 0.492 0.009 0.999  0.00
Al 0.277 0.762 0.696  0.00
Al 0.356 0.864 0.929  0.00
Al 0.893 0.364 0.874  0.00
Al 0.690 0.207 0.412  0.00
Al 0.437 0.948 0.160  0.00
Al 0.102 0.650 0.127  0.00
Al 0.798 0.775 0.643  0.00
Al 0.025 0.506 0.445  0.00
Al 0.732 0.227 0.303  0.00
Ni 0.917 0.439 0.215  1.75
Ni 0.799 0.274 0.643  1.75
Ni 0.299 0.273 0.643  1.75
Ni 0.586 0.559 0.785  1.74
Ni 0.621 0.158 0.072  1.75
Ni 0.711 0.717 0.358  1.75
Ni 0.850 0.862 0.928  1.75
Ni 0.568 0.044 0.840  1.79
Ni 0.124 0.160 0.072  1.76
Ni 0.417 0.439 0.215  1.75
Ni 0.505 0.996 0.500  1.75
Ni 0.211 0.717 0.358  1.75
Ni 0.830 0.349 0.985  1.79
Ni 0.004 0.996 0.500  1.75

As for the total energy: -6.7275 eV per atom. The calculation puts the energy above the lowest structure with this stoichiometry at 11 meV/atom. Its crystal system is triclinic.